Compound: Tb7Er3In
Source: Alexandria via LeMat-Bulk
Functional: PBE
Structure: optimized geometry

Cell and atoms, written as POSCAR:
```
Tb7Er3In
1.0
6.9531 0.0000 0.0000
-3.4765 6.0215 0.0000
0.0000 0.0000 8.4737
Tb Er In
7 3 1
Direct
0.0000 0.0000 0.0000
0.1637 0.3275 0.3370
0.1637 0.8363 0.3370
0.5017 0.0033 0.0101
0.5017 0.4983 0.0101
0.6725 0.8363 0.3370
0.9967 0.4983 0.0101
0.3322 0.1661 0.6714
0.8339 0.1661 0.6714
0.8339 0.6678 0.6714
0.6667 0.3333 0.3422
```

ΔE_f	0.118	eV/atom
magnetization	0.0	μB per cell
calculated total energy	-47.5	eV for the cell shown
ρ	8.1	g/cm³